[1]
Material: YPaCu10
Method: DFT, GGA-PBE
State: optimized geometry

a = 4.103 Å, b = 5.055 Å, c = 8.672 Å
α = 90.00°, β = 90.00°, γ = 90.00°
Fractional coordinates of all 12 atoms:
Cu1 0.500 0.747 0.747
Cu2 0.500 0.000 0.500
Cu3 0.500 0.500 0.000
Cu4 0.500 0.747 0.253
Cu5 0.000 0.500 0.833
Cu6 0.000 0.000 0.666
Cu7 0.500 0.253 0.747
Cu8 0.000 0.000 0.334
Cu9 0.500 0.253 0.253
Cu10 0.000 0.500 0.167
Pa1 0.000 0.500 0.500
Y1 0.000 0.000 0.000

Values from the calculation:
symmetry: Pmmm

[2]
Material: YPaCu
Method: DFT, GGA-PBE
State: optimized geometry

a = 3.292 Å, b = 3.292 Å, c = 6.802 Å
α = 104.00°, β = 104.00°, γ = 90.00°
Fractional coordinates of all 3 atoms:
Cu1 0.668 0.668 0.336
Y1 0.019 0.019 0.038
Pa1 0.313 0.313 0.626

Values from the calculation:
symmetry: I4mm

[3]
Material: Pa2ZnCu
Method: DFT, GGA-PBE
State: optimized geometry

a = 3.030 Å, b = 3.030 Å, c = 8.648 Å
α = 90.00°, β = 90.00°, γ = 90.00°
Fractional coordinates of all 4 atoms:
Cu1 0.500 0.500 0.000
Pa1 0.000 0.000 0.759
Pa2 0.000 0.000 0.241
Zn1 0.500 0.500 0.500

Values from the calculation:
symmetry: P4/mmm

[4]
Material: Pa3Zn2Cu7
Method: DFT, GGA-PBE
State: optimized geometry

a = 5.196 Å, b = 5.196 Å, c = 8.791 Å
α = 72.81°, β = 72.81°, γ = 60.00°
Fractional coordinates of all 12 atoms:
Pa1 0.000 0.000 0.000
Pa2 0.147 0.147 0.560
Pa3 0.853 0.853 0.440
Cu1 0.081 0.583 0.754
Cu2 0.417 0.919 0.246
Cu3 0.583 0.583 0.754
Cu4 0.583 0.081 0.754
Cu5 0.417 0.417 0.246
Cu6 0.919 0.417 0.246
Cu7 0.500 0.500 0.500
Zn1 0.667 0.667 0.999
Zn2 0.333 0.333 0.001

Values from the calculation:
symmetry: R-3m

[5]
Material: Pa3Zn4Cu4
Method: DFT, GGA-PBE
State: optimized geometry

a = 4.213 Å, b = 6.944 Å, c = 7.753 Å
α = 116.61°, β = 105.77°, γ = 90.00°
Fractional coordinates of all 11 atoms:
Zn1 0.322 0.509 0.645
Zn2 0.322 0.135 0.645
Zn3 0.678 0.491 0.355
Zn4 0.678 0.865 0.355
Cu1 0.500 0.800 0.000
Cu2 0.225 0.725 0.450
Cu3 0.500 0.200 0.000
Cu4 0.775 0.275 0.550
Pa1 0.894 0.894 0.787
Pa2 0.106 0.106 0.213
Pa3 0.000 0.500 0.000

Values from the calculation:
symmetry: Immm

[6]
Material: PaZn2Cu3
Method: DFT, GGA-PBE
State: optimized geometry

a = 5.219 Å, b = 5.219 Å, c = 8.068 Å
α = 90.00°, β = 90.00°, γ = 120.00°
Fractional coordinates of all 12 atoms:
Cu1 0.497 0.000 0.250
Cu2 0.503 0.000 0.750
Cu3 0.000 0.497 0.250
Cu4 0.497 0.497 0.750
Cu5 0.000 0.503 0.750
Cu6 0.503 0.503 0.250
Pa1 0.000 0.000 0.500
Pa2 0.000 0.000 0.000
Zn1 0.667 0.333 0.000
Zn2 0.667 0.333 0.500
Zn3 0.333 0.667 0.500
Zn4 0.333 0.667 0.000

Values from the calculation:
symmetry: P6_3/mcm

[7]
Material: Pa3Zn6Cu5
Method: DFT, GGA-PBE
State: optimized geometry

a = 4.319 Å, b = 7.906 Å, c = 7.906 Å
α = 67.18°, β = 74.15°, γ = 74.15°
Fractional coordinates of all 14 atoms:
Zn1 0.500 0.329 0.671
Zn2 0.860 0.431 0.849
Zn3 0.140 0.569 0.151
Zn4 0.140 0.151 0.569
Zn5 0.500 0.671 0.329
Zn6 0.860 0.849 0.431
Pa1 0.723 0.277 0.277
Pa2 0.000 0.000 0.000
Pa3 0.277 0.723 0.723
Cu1 0.653 0.988 0.706
Cu2 0.347 0.012 0.294
Cu3 0.653 0.706 0.988
Cu4 0.347 0.294 0.012
Cu5 0.000 0.500 0.500

Values from the calculation:
symmetry: Immm

[8]
Material: PaZn6Cu6
Method: DFT, GGA-PBE
State: optimized geometry

a = 4.886 Å, b = 6.678 Å, c = 6.678 Å
α = 81.79°, β = 68.54°, γ = 68.54°
Fractional coordinates of all 13 atoms:
Zn1 0.649 0.351 0.351
Zn2 0.000 0.652 0.348
Zn3 0.289 0.211 0.211
Zn4 0.000 0.348 0.652
Zn5 0.351 0.649 0.649
Zn6 0.711 0.789 0.789
Cu1 0.500 0.500 0.000
Cu2 0.500 0.217 0.783
Cu3 0.000 0.500 0.000
Cu4 0.500 0.000 0.500
Cu5 0.500 0.783 0.217
Cu6 0.000 0.000 0.500
Pa1 0.000 0.000 0.000

Values from the calculation:
symmetry: Immm

[9]
Material: Pa2Zn4Cu3
Method: DFT, GGA-PBE
State: optimized geometry

a = 5.412 Å, b = 7.640 Å, c = 7.828 Å
α = 90.00°, β = 110.22°, γ = 90.00°
Fractional coordinates of all 18 atoms:
Zn1 0.182 0.997 0.365
Zn2 0.331 0.250 0.162
Zn3 0.682 0.503 0.365
Zn4 0.669 0.750 0.838
Zn5 0.318 0.497 0.635
Zn6 0.831 0.250 0.162
Zn7 0.818 0.003 0.635
Zn8 0.169 0.750 0.838
Cu1 0.000 0.000 0.000
Cu2 0.500 0.750 0.500
Cu3 0.500 0.250 0.500
Cu4 0.000 0.750 0.500
Cu5 0.000 0.250 0.500
Cu6 0.500 0.500 0.000
Pa1 0.588 0.892 0.175
Pa2 0.088 0.608 0.175
Pa3 0.912 0.392 0.825
Pa4 0.412 0.108 0.825

Values from the calculation:
symmetry: Cmce

[10]
Material: PaZnCu
Method: DFT, GGA-PBE
State: optimized geometry

a = 4.457 Å, b = 5.579 Å, c = 5.419 Å
α = 70.57°, β = 65.72°, γ = 66.46°
Fractional coordinates of all 6 atoms:
Zn1 0.163 0.366 0.307
Zn2 0.837 0.634 0.693
Pa1 0.517 0.213 0.752
Pa2 0.483 0.787 0.248
Cu1 0.830 0.192 0.149
Cu2 0.170 0.808 0.851

Values from the calculation:
symmetry: C2/m

[11]
Material: PaZn2Cu9
Method: DFT, GGA-PBE
State: optimized geometry

a = 4.990 Å, b = 4.990 Å, c = 8.348 Å
α = 72.61°, β = 72.61°, γ = 60.00°
Fractional coordinates of all 12 atoms:
Cu1 0.500 0.500 0.500
Cu2 0.919 0.411 0.259
Cu3 0.411 0.919 0.259
Cu4 0.411 0.411 0.259
Cu5 0.589 0.589 0.741
Cu6 0.666 0.666 0.001
Cu7 0.589 0.081 0.741
Cu8 0.081 0.589 0.741
Cu9 0.334 0.334 0.999
Zn1 0.144 0.144 0.567
Zn2 0.856 0.856 0.433
Pa1 0.000 0.000 0.000

Values from the calculation:
symmetry: R-3m

[12]
Material: PaZnCu3
Method: DFT, GGA-PBE
State: optimized geometry

a = 4.552 Å, b = 8.406 Å, c = 8.401 Å
α = 90.00°, β = 90.00°, γ = 90.00°
Fractional coordinates of all 20 atoms:
Cu1 0.250 0.393 0.651
Cu2 0.750 0.897 0.652
Cu3 0.250 0.103 0.348
Cu4 0.750 0.397 0.848
Cu5 0.750 0.107 0.151
Cu6 0.250 0.904 0.153
Cu7 0.250 0.893 0.849
Cu8 0.750 0.607 0.349
Cu9 0.750 0.096 0.847
Cu10 0.250 0.404 0.347
Cu11 0.250 0.603 0.152
Cu12 0.750 0.596 0.653
Zn1 0.750 0.411 0.150
Zn2 0.750 0.911 0.350
Zn3 0.250 0.589 0.850
Zn4 0.250 0.089 0.650
Pa1 0.250 0.238 0.997
Pa2 0.250 0.738 0.503
Pa3 0.750 0.762 0.003
Pa4 0.750 0.262 0.497

Values from the calculation:
symmetry: Pnma

Number 1: calculated formation energy -0.090 eV per atom, final energy -58.0 eV per cell. Number 2: calculated formation energy 0.107 eV per atom, final energy -19.7 eV per cell. Number 3: calculated formation energy 0.037 eV per atom, final energy -24.2 eV per cell. Number 4: calculated formation energy -0.005 eV per atom, final energy -59.8 eV per cell. Number 5: calculated formation energy -0.058 eV per atom, final energy -50.6 eV per cell. Number 6: calculated formation energy -0.006 eV per atom, final energy -48.7 eV per cell. Number 7: calculated formation energy -0.078 eV per atom, final energy -57.7 eV per cell. Number 8: calculated formation energy -0.076 eV per atom, final energy -42.7 eV per cell. Number 9: calculated formation energy -0.015 eV per atom, final energy -73.0 eV per cell. Number 10: calculated formation energy -0.058 eV per atom, final energy -30.1 eV per cell. Number 11: calculated formation energy -0.024 eV per atom, final energy -49.2 eV per cell. Number 12: calculated formation energy -0.033 eV per atom, final energy -92.9 eV per cell.